First-principles (GGA-PBE) data for Be4Ru5 after structural relaxation, as listed in the Alexandria database.

Structure (POSCAR):
```
Be4Ru5
1.0
6.9897 0.0000 0.0000
-3.4949 6.0533 0.0000
0.0000 0.0000 4.8206
Be Ru
8 10
direct
0.0000 0.0000 0.0000
0.0000 0.0000 0.5000
0.0000 0.3864 0.2500
0.0000 0.6136 0.7500
0.3864 0.0000 0.2500
0.3864 0.3864 0.7500
0.6136 0.0000 0.7500
0.6136 0.6136 0.2500
0.0000 0.2734 0.7500
0.0000 0.7266 0.2500
0.2734 0.0000 0.7500
0.2734 0.2734 0.2500
0.3333 0.6667 0.0000
0.3333 0.6667 0.5000
0.6667 0.3333 0.0000
0.6667 0.3333 0.5000
0.7266 0.0000 0.2500
0.7266 0.7266 0.7500
```

Properties
crystal system = hexagonal

---

First-principles (GGA-PBE) data for BeRu3 after structural relaxation, as listed in the Alexandria database.

Structure (POSCAR):
```
BeRu3
1.0
5.5803 0.0000 0.0000
0.0000 7.4386 0.0000
0.0000 0.0000 4.8100
Be Ru
4 12
direct
0.1166 0.2500 0.0872
0.3834 0.7500 0.5872
0.6166 0.2500 0.4128
0.8834 0.7500 0.9128
0.0233 0.7500 0.3547
0.1933 0.5530 0.8637
0.1933 0.9470 0.8637
0.3067 0.0530 0.3637
0.3067 0.4470 0.3637
0.4767 0.2500 0.8547
0.5233 0.7500 0.1453
0.6933 0.5530 0.6363
0.6933 0.9470 0.6363
0.8067 0.0530 0.1363
0.8067 0.4470 0.1363
0.9767 0.2500 0.6453
```

Properties
crystal system = orthorhombic

---

First-principles (GGA-PBE) data for Be4Ru after structural relaxation, as listed in the Alexandria database.

Structure (POSCAR):
```
Be4Ru
1.0
-2.5498 2.5498 2.5498
2.5498 -2.5498 2.5498
2.5498 2.5498 -2.5498
Be Ru
4 1
direct
0.0000 0.0000 0.5000
0.0000 0.5000 0.0000
0.5000 0.0000 0.0000
0.5000 0.5000 0.5000
0.0000 0.0000 0.0000
```

Properties
crystal system = cubic

---

First-principles (GGA-PBE) data for BeRu3 after structural relaxation, as listed in the Alexandria database.

Structure (POSCAR):
```
BeRu3
1.0
2.6953 0.0000 0.0000
0.0000 3.8552 0.0000
-1.1311 0.0000 4.9235
Be Ru
1 3
direct
0.0000 0.0000 0.0000
0.0000 0.0000 0.5000
0.3841 0.5000 0.2312
0.6159 0.5000 0.7688
```

Properties
crystal system = monoclinic

---

First-principles (GGA-PBE) data for Be3Ru5 after structural relaxation, as listed in the Alexandria database.

Structure (POSCAR):
```
Be3Ru5
1.0
2.9214 -4.0815 0.0000
2.9214 4.0815 0.0000
0.0000 0.0000 4.0375
Be Ru
3 5
direct
0.0000 0.0000 0.0000
0.2702 0.7298 0.5000
0.7298 0.2702 0.5000
0.0000 0.5000 0.0000
0.2208 0.2208 0.5000
0.5000 0.0000 0.0000
0.5000 0.5000 0.0000
0.7792 0.7792 0.5000
```

Properties
crystal system = orthorhombic

---

First-principles (GGA-PBE) data for BeRu3 after structural relaxation, as listed in the Alexandria database.

Structure (POSCAR):
```
BeRu3
1.0
4.3328 -1.3492 0.0000
4.3328 1.3492 0.0000
-0.7445 0.0000 4.4533
Be Ru
1 3
direct
0.0000 0.0000 0.0000
0.2483 0.2483 0.7599
0.5000 0.5000 0.5000
0.7517 0.7517 0.2401
```

Properties
crystal system = monoclinic

---

First-principles (GGA-PBE) data for BeRu3 after structural relaxation, as listed in the Alexandria database.

Structure (POSCAR):
```
BeRu3
1.0
2.5142 -3.8740 0.0000
2.5142 3.8740 0.0000
0.0000 0.0000 2.6914
Be Ru
1 3
direct
0.0000 0.0000 0.0000
0.0000 0.5000 0.5000
0.5000 0.0000 0.5000
0.5000 0.5000 0.0000
```

Properties
crystal system = orthorhombic

---

First-principles (GGA-PBE) data for BeRu3 after structural relaxation, as listed in the Alexandria database.

Structure (POSCAR):
```
BeRu3
1.0
-1.8110 1.8110 7.9009
1.8110 -1.8110 7.9009
1.8110 1.8110 -7.9009
Be Ru
2 6
direct
0.1207 0.1207 0.0000
0.8793 0.8793 0.0000
0.0000 0.5000 0.5000
0.2500 0.7500 0.5000
0.3727 0.3727 0.0000
0.5000 0.0000 0.5000
0.6273 0.6273 0.0000
0.7500 0.2500 0.5000
```

Properties
crystal system = tetragonal

---

First-principles (GGA-PBE) data for Be4Ru after structural relaxation, as listed in the Alexandria database.

Structure (POSCAR):
```
Be4Ru
1.0
4.1133 0.0000 0.0000
0.0000 4.1133 0.0000
0.0000 0.0000 4.1133
Be Ru
4 1
direct
0.0000 0.0000 0.0000
0.0000 0.5000 0.5000
0.5000 0.0000 0.5000
0.5000 0.5000 0.0000
0.5000 0.5000 0.5000
```

Properties
crystal system = cubic

---

First-principles (GGA-PBE) data for BeRu3 after structural relaxation, as listed in the Alexandria database.

Structure (POSCAR):
```
BeRu3
1.0
2.6298 -4.6811 0.0000
2.6298 4.6811 0.0000
0.0000 0.0000 4.2053
Be Ru
2 6
direct
0.0793 0.9207 0.7500
0.9207 0.0793 0.2500
0.0735 0.3979 0.7500
0.3979 0.0735 0.2500
0.4201 0.5799 0.2500
0.5799 0.4201 0.7500
0.6021 0.9265 0.7500
0.9265 0.6021 0.2500
```

Properties
crystal system = orthorhombic

---

First-principles (GGA-PBE) data for BeRu3 after structural relaxation, as listed in the Alexandria database.

Structure (POSCAR):
```
BeRu3
1.0
4.1163 2.3765 0.8984
-4.1163 2.3765 0.8984
0.0000 -4.7530 0.8984
Be Ru
1 3
direct
0.0000 0.0000 0.0000
0.0000 0.5000 0.5000
0.5000 0.0000 0.5000
0.5000 0.5000 0.0000
```

Properties
crystal system = trigonal

---

First-principles (GGA-PBE) data for BeRu3 after structural relaxation, as listed in the Alexandria database.

Structure (POSCAR):
```
BeRu3
1.0
2.7229 0.0000 0.0000
0.0000 3.7524 0.0000
0.0000 0.0000 5.0604
Be Ru
1 3
direct
0.0000 0.0000 0.0000
0.0000 0.0000 0.5000
0.5000 0.5000 0.2358
0.5000 0.5000 0.7642
```

Properties
crystal system = orthorhombic

---

First-principles (GGA-PBE) data for Be3Ru5 after structural relaxation, as listed in the Alexandria database.

Structure (POSCAR):
```
Be3Ru5
1.0
6.7084 0.0000 0.0000
-3.3542 5.8097 0.0000
0.0000 0.0000 4.8185
Be Ru
6 10
direct
0.0000 0.3970 0.2500
0.0000 0.6030 0.7500
0.3970 0.0000 0.2500
0.3970 0.3970 0.7500
0.6030 0.0000 0.7500
0.6030 0.6030 0.2500
0.0000 0.2373 0.7500
0.0000 0.7627 0.2500
0.2373 0.0000 0.7500
0.2373 0.2373 0.2500
0.3333 0.6667 0.0000
0.3333 0.6667 0.5000
0.6667 0.3333 0.0000
0.6667 0.3333 0.5000
0.7627 0.0000 0.2500
0.7627 0.7627 0.7500
```

Properties
crystal system = hexagonal

---

First-principles (GGA-PBE) data for Be5Ru4 after structural relaxation, as listed in the Alexandria database.

Structure (POSCAR):
```
Be5Ru4
1.0
-3.9499 3.9499 1.5551
3.9499 -3.9499 1.5551
3.9499 3.9499 -1.5551
Be Ru
5 4
direct
0.0000 0.0000 0.0000
0.3207 0.3207 0.6415
0.3207 0.6793 0.0000
0.6793 0.3207 0.0000
0.6793 0.6793 0.3585
0.0000 0.2946 0.2946
0.0000 0.7054 0.7054
0.2946 0.0000 0.2946
0.7054 0.0000 0.7054
```

Properties
crystal system = tetragonal

---

First-principles (GGA-PBE) data for BeRu3 after structural relaxation, as listed in the Alexandria database.

Structure (POSCAR):
```
BeRu3
1.0
4.7233 0.0000 0.0000
0.0000 4.7233 0.0000
0.0000 0.0000 4.7233
Be Ru
2 6
direct
0.0000 0.0000 0.0000
0.5000 0.5000 0.5000
0.0000 0.2500 0.5000
0.0000 0.7500 0.5000
0.2500 0.5000 0.0000
0.5000 0.0000 0.2500
0.5000 0.0000 0.7500
0.7500 0.5000 0.0000
```

Properties
crystal system = cubic

---

First-principles (GGA-PBE) data for Be6Ru after structural relaxation, as listed in the Alexandria database.

Structure (POSCAR):
```
Be6Ru
1.0
6.8876 0.0000 0.0000
0.0000 4.2099 0.0000
0.0000 0.0000 8.2619
Be Ru
24 4
direct
0.0464 0.2500 0.0828
0.0590 0.5048 0.3054
0.0590 0.9952 0.3054
0.0975 0.7500 0.5187
0.1553 0.2500 0.8520
0.1976 0.7500 0.7521
0.3024 0.2500 0.2521
0.3447 0.7500 0.3520
0.4025 0.2500 0.0187
0.4410 0.0048 0.8054
0.4410 0.4952 0.8054
0.4536 0.7500 0.5828
0.5464 0.2500 0.4172
0.5590 0.5048 0.1946
0.5590 0.9952 0.1946
0.5975 0.7500 0.9813
0.6553 0.2500 0.6480
0.6976 0.7500 0.7479
0.8024 0.2500 0.2479
0.8447 0.7500 0.1480
0.9025 0.2500 0.4813
0.9410 0.0048 0.6946
0.9410 0.4952 0.6946
0.9536 0.7500 0.9172
0.2414 0.2500 0.5706
0.2586 0.7500 0.0706
0.7414 0.2500 0.9294
0.7586 0.7500 0.4294
```

Properties
crystal system = orthorhombic

---

First-principles (GGA-PBE) data for BeRu3 after structural relaxation, as listed in the Alexandria database.

Structure (POSCAR):
```
BeRu3
1.0
0.0000 2.9698 2.9698
2.9698 0.0000 2.9698
2.9698 2.9698 0.0000
Be Ru
1 3
direct
0.0000 0.0000 0.0000
0.2500 0.2500 0.2500
0.5000 0.5000 0.5000
0.7500 0.7500 0.7500
```

Properties
crystal system = cubic

---

First-principles (GGA-PBE) data for Be6Ru after structural relaxation, as listed in the Alexandria database.

Structure (POSCAR):
```
Be6Ru
1.0
-2.6897 2.6897 2.6897
2.6897 -2.6897 2.6897
2.6897 2.6897 -2.6897
Be Ru
6 1
direct
0.2500 0.5000 0.7500
0.2500 0.7500 0.5000
0.5000 0.2500 0.7500
0.5000 0.7500 0.2500
0.7500 0.2500 0.5000
0.7500 0.5000 0.2500
0.0000 0.0000 0.0000
```

Properties
crystal system = cubic

---

First-principles (GGA-PBE) data for BeRu3 after structural relaxation, as listed in the Alexandria database.

Structure (POSCAR):
```
BeRu3
1.0
4.2277 0.0000 0.0000
0.0000 5.2061 0.0000
0.0000 0.0000 4.6757
Be Ru
2 6
direct
0.2500 0.2500 0.1536
0.7500 0.7500 0.8464
0.2500 0.5079 0.6547
0.2500 0.7500 0.1417
0.2500 0.9921 0.6547
0.7500 0.0079 0.3453
0.7500 0.2500 0.8583
0.7500 0.4921 0.3453
```

Properties
crystal system = orthorhombic

---

First-principles (GGA-PBE) data for Be5Ru4 after structural relaxation, as listed in the Alexandria database.

Structure (POSCAR):
```
Be5Ru4
1.0
6.9360 0.0000 0.0000
-3.4680 6.0068 0.0000
0.0000 0.0000 4.6885
Be Ru
10 8
direct
0.0000 0.3117 0.2500
0.0000 0.6883 0.7500
0.3117 0.0000 0.2500
0.3117 0.3117 0.7500
0.3333 0.6667 0.0000
0.3333 0.6667 0.5000
0.6667 0.3333 0.0000
0.6667 0.3333 0.5000
0.6883 0.0000 0.7500
0.6883 0.6883 0.2500
0.0000 0.0000 0.0000
0.0000 0.0000 0.5000
0.0000 0.3639 0.7500
0.0000 0.6361 0.2500
0.3639 0.0000 0.7500
0.3639 0.3639 0.2500
0.6361 0.0000 0.2500
0.6361 0.6361 0.7500
```

Properties
crystal system = hexagonal

---

First-principles (GGA-PBE) data for Be3Ru5 after structural relaxation, as listed in the Alexandria database.

Structure (POSCAR):
```
Be3Ru5
1.0
-4.4812 4.4812 2.3408
4.4812 -4.4812 2.3408
4.4812 4.4812 -2.3408
Be Ru
6 10
direct
0.1712 0.6712 0.8424
0.2500 0.2500 0.0000
0.3288 0.1712 0.5000
0.6712 0.8288 0.5000
0.7500 0.7500 0.0000
0.8288 0.3288 0.1576
0.0746 0.2223 0.2969
0.2223 0.9254 0.1478
0.2500 0.7500 0.5000
0.2777 0.4254 0.7031
0.4254 0.7223 0.1478
0.5746 0.2777 0.8522
0.7223 0.5746 0.2969
0.7500 0.2500 0.5000
0.7777 0.0746 0.8522
0.9254 0.7777 0.7031
```

Properties
crystal system = tetragonal

---

First-principles (GGA-PBE) data for Be4Ru after structural relaxation, as listed in the Alexandria database.

Structure (POSCAR):
```
Be4Ru
1.0
-1.5154 1.5154 5.0351
1.5154 -1.5154 5.0351
1.5154 1.5154 -5.0351
Be Ru
4 1
direct
0.0987 0.0987 0.0000
0.2500 0.7500 0.5000
0.7500 0.2500 0.5000
0.9013 0.9013 0.0000
0.5000 0.5000 0.0000
```

Properties
crystal system = tetragonal

---

First-principles (GGA-PBE) data for BeRu3 after structural relaxation, as listed in the Alexandria database.

Structure (POSCAR):
```
BeRu3
1.0
2.7698 0.0000 0.0000
0.0000 2.7698 0.0000
0.0000 0.0000 6.4557
Be Ru
1 3
direct
0.0000 0.0000 0.0000
0.0000 0.0000 0.5000
0.5000 0.5000 0.2161
0.5000 0.5000 0.7839
```

Properties
crystal system = tetragonal

---

no.,volume (Å³/cell),final energy (eV per atom),distance to the lowest polymorph of the same formula (eV per atom)
1,203.96,-6.94,0.000
2,199.66,-7.86,0.112
3,66.31,-4.37,0.759
4,51.16,-7.85,0.123
5,96.28,-7.18,0.149
6,52.07,-7.78,0.190
7,52.43,-7.70,0.267
8,103.65,-7.73,0.236
9,69.60,-3.89,1.231
10,103.54,-7.83,0.135
11,52.73,-7.58,0.383
12,51.70,-7.84,0.131
13,187.80,-7.28,0.045
14,97.05,-6.36,0.000
15,105.38,-7.65,0.319
16,239.56,-4.75,0.000
17,52.38,-7.67,0.295
18,77.83,-3.25,1.503
19,102.91,-7.85,0.119
20,195.34,-6.33,0.036
21,188.02,-7.33,0.000
22,46.25,-4.87,0.253
23,49.53,-7.97,0.000